Entry 1:
Zr6ScRh2 after structural relaxation. Source: the Alexandria database, functional PBE-GGA.

- ΔH_f (0 K) (eV per atom) = -0.37
- total energy (eV per atom) = -8.409

Cell: 3.388 5.776 10.303 Å, 75.41 80.54 72.95°
Element x y z (fractional)
Zr 0.314 0.492 0.879
Zr 0.985 0.704 0.327
Zr 0.686 0.508 0.121
Zr 0.015 0.296 0.673
Zr 0.675 0.224 0.427
Zr 0.325 0.776 0.573
Rh 0.660 0.896 0.785
Rh 0.340 0.104 0.215
Sc 0.000 0.000 0.000

---

Entry 2:
CsBBr4 after structural relaxation. Source: the Alexandria database, functional PBE-GGA.

- offset from the most stable computed form (eV per atom) = 0.0000
- energy relative to the elements, uncorrected (meV/atom) = -967.3
- total energy (eV per atom) = -3.338

Cell: 6.490 7.365 10.089 Å, 90.00 90.00 90.00°
Element x y z (fractional)
Br 0.160 0.775 0.500
Br 0.198 0.170 0.337
Br 0.600 0.998 0.500
Br 0.840 0.275 0.000
Br 0.198 0.170 0.663
Br 0.802 0.670 0.163
Br 0.400 0.498 0.000
Br 0.802 0.670 0.837
B 0.712 0.527 0.000
B 0.288 0.027 0.500
Cs 0.354 0.989 0.000
Cs 0.646 0.489 0.500

---

Entry 3:
NpReB after structural relaxation. Source: the Alexandria database, functional PBE-GGA.

- offset from the most stable computed form (eV per atom) = 0.5443
- ΔH_f (0 K) (eV per atom) = 0.65
- total energy (eV per atom) = -10.041

Cell: 2.574 5.586 6.605 Å, 102.89 101.24 90.00°
Element x y z (fractional)
Re 0.027 0.781 0.054
Re 0.973 0.219 0.946
Np 0.236 0.211 0.473
Np 0.764 0.789 0.527
B 0.884 0.506 0.769
B 0.116 0.494 0.231

---

Entry 4:
PmTh2Ni9 after structural relaxation. Source: the Alexandria database, functional PBE-GGA.

- ΔH_f (0 K) (eV per atom) = -0.39
- total energy (eV per atom) = -6.358

Cell: 5.020 5.020 8.812 Å, 73.45 73.45 60.00°
Element x y z (fractional)
Ni 0.418 0.919 0.246
Ni 0.418 0.418 0.246
Ni 0.333 0.333 0.001
Ni 0.500 0.500 0.500
Ni 0.582 0.081 0.754
Ni 0.667 0.667 0.999
Ni 0.582 0.582 0.754
Ni 0.081 0.582 0.754
Ni 0.919 0.418 0.246
Th 0.864 0.864 0.409
Th 0.136 0.136 0.591
Pm 0.000 0.000 0.000

---

Entry 5:
Nd3Y6TmTh2 after structural relaxation. Source: the Alexandria database, functional PBE-GGA.

- ΔH_f (0 K) (eV per atom) = 0.02
- total energy (eV per atom) = -6.016

Cell: 6.226 6.226 11.860 Å, 95.03 95.03 119.97°
Element x y z (fractional)
Y 0.418 0.081 0.244
Y 0.255 0.255 0.755
Y 0.919 0.582 0.756
Y 0.582 0.919 0.756
Y 0.745 0.745 0.245
Y 0.081 0.418 0.244
Nd 0.166 0.834 0.500
Nd 0.500 0.500 0.500
Nd 0.834 0.166 0.500
Tm 0.000 0.000 0.000
Th 0.333 0.667 0.000
Th 0.667 0.333 0.000

---

Entry 6:
CaTb2CdAu4 after structural relaxation. Source: the Alexandria database, functional PBE-GGA.

- ΔH_f (0 K) (eV per atom) = -0.75
- total energy (eV per atom) = -3.908

Cell: 5.025 5.025 8.720 Å, 73.25 73.25 60.00°
Element x y z (fractional)
Au 0.878 0.878 0.367
Au 0.122 0.122 0.633
Au 0.627 0.627 0.118
Au 0.373 0.373 0.882
Tb 0.244 0.244 0.267
Tb 0.756 0.756 0.733
Ca 0.000 0.000 0.000
Cd 0.500 0.500 0.500